BaRe2Se: optimized geometry, GGA-PBE.

abc: 5.8161 11.6712 2.9133
angles: 90.00 119.91 90.00
Last column: nearest neighbours and their distance in Å.
Space group C2/m (No. 12)
One atom of each set of equivalent atoms:
Ba1 0.0000 0.0000 0.0000 [2 per cell]  4 Se 2.91, 2 Ba 2.91
Re1 0.2500 0.2500 0.5000 [4 per cell]  6 Re 2.91
Se1 0.0000 0.5000 0.0000 [2 per cell]  4 Ba 2.91, 2 Se 2.91

Calculated values
Density of states at the Fermi level: 8.907 states/eV/cell
Electronic total energy: -6.4493 eV per atom
Total moment: 0.0000 μB per atom

=====

BaRe2Se: optimized geometry, GGA-PBE.

abc: 5.7013 10.9768 2.7810
angles: 90.00 90.00 90.00
Last column: nearest neighbours and their distance in Å.
Space group Cmmm (No. 65)
One atom of each set of equivalent atoms:
Ba1 0.0000 0.0000 0.0000 [2 per cell]  2 Ba 2.78, 2 Se 2.85
Re1 0.2500 0.2500 0.5000 [4 per cell]  4 Re 2.78-2.85
Se1 0.0000 0.5000 0.0000 [2 per cell]  2 Se 2.78, 2 Ba 2.85

Calculated values
Density of states at the Fermi level: 7.815 states/eV/cell
Electronic total energy: -6.0833 eV per atom
Total moment: 0.0000 μB per atom

=====

BaRe2Se: optimized geometry, GGA-PBE.

abc: 3.8024 4.0353 6.3662
angles: 90.00 95.24 90.00
Last column: nearest neighbours and their distance in Å.
Space group Pm (No. 6)
One atom of each set of equivalent atoms:
Ba1 0.0000 0.0000 0.0000 [1 per cell]  4 Se 3.31-3.33, 4 Re 3.42-3.54
Re1 0.5654 0.0000 0.4490 [1 per cell]  2 Re 2.46, 2 Se 2.68
Re2 0.9339 0.5000 0.4515 [1 per cell]  2 Re 2.46, 2 Se 2.48-2.56
Se1 0.4601 0.5000 0.7128 [1 per cell]  4 Re 2.48-2.68

Calculated values
Density of states at the Fermi level: 2.202 states/eV/cell
Electronic total energy: -7.2650 eV per atom
Total moment: 0.0000 μB per atom

=====

BaRe2Se: optimized geometry, GGA-PBE.

abc: 3.1538 3.1538 8.3217
angles: 90.00 90.00 90.00
Last column: nearest neighbours and their distance in Å.
Space group P4/mmm (No. 123)
One atom of each set of equivalent atoms:
Ba1 0.0000 0.0000 0.0000 [1 per cell]  4 Ba 3.15
Re1 0.5000 0.5000 0.3343 [2 per cell]  4 Se 2.62, 1 Re 2.76
Se1 0.0000 0.0000 0.5000 [1 per cell]  8 Re 2.62

Calculated values
Density of states at the Fermi level: 3.820 states/eV/cell
Electronic total energy: -6.4601 eV per atom
Total moment: 0.0000 μB per atom

=====

BaRe4Se: optimized geometry, GGA-PBE.

abc: 7.7578 7.7578 7.7578
angles: 90.00 90.00 90.00
Last column: nearest neighbours and their distance in Å.
Space group F-43m (No. 216)
One atom of each set of equivalent atoms:
Ba1 0.0000 0.0000 0.0000 [4 per cell]  12 Re 3.22, 4 Se 3.36
Re1 0.1231 0.1231 0.6231 [16 per cell]  6 Re 2.70-2.78
Se1 0.2500 0.2500 0.2500 [4 per cell]  12 Re 3.21, 4 Ba 3.36

Calculated values
Density of states at the Fermi level: 20.032 states/eV/cell
Electronic total energy: -8.1536 eV per atom
Total moment: 0.0000 μB per atom

=====

Ba2ReSe: optimized geometry, GGA-PBE.

abc: 8.5320 8.5320 8.3540
angles: 90.00 90.00 90.00
Last column: nearest neighbours and their distance in Å.
Space group I-42d (No. 122)
One atom of each set of equivalent atoms:
Ba1 0.2453 0.2500 0.1250 [8 per cell]  2 Se 3.17, 2 Re 3.22
Re1 0.0000 0.0000 0.5000 [4 per cell]  4 Ba 3.22
Se1 0.0000 0.0000 0.0000 [4 per cell]  4 Ba 3.17

Calculated values
Density of states at the Fermi level: 10.321 states/eV/cell
Electronic total energy: -4.5379 eV per atom
Total moment: 0.7500 μB per atom

=====

Ba2ReSe: optimized geometry, GGA-PBE.

abc: 3.4849 3.4849 9.9110
angles: 90.00 90.00 90.00
Last column: nearest neighbours and their distance in Å.
Space group P4mm (No. 99)
One atom of each set of equivalent atoms:
Ba1 0.0000 0.0000 0.0000 [1 per cell]  1 Re 3.45, 4 Ba 3.48, 4 Se 3.50
Ba2 0.5000 0.5000 0.4045 [1 per cell]  1 Se 3.42, 4 Re 3.48, 4 Ba 3.48
Re1 0.0000 0.0000 0.6521 [1 per cell]  4 Se 2.65
Se1 0.5000 0.5000 0.7492 [1 per cell]  4 Re 2.65

Calculated values
Density of states at the Fermi level: 5.093 states/eV/cell
Electronic total energy: -4.6199 eV per atom
Total moment: 0.0161 μB per atom

=====

Ba2ReSe: optimized geometry, GGA-PBE.

abc: 7.7724 7.7724 7.7724
angles: 90.00 90.00 90.00
Last column: nearest neighbours and their distance in Å.
Space group F-43m (No. 216)
One atom of each set of equivalent atoms:
Ba1 0.0000 0.0000 0.0000 [4 per cell]  4 Re 3.37, 4 Ba 3.37
Ba2 0.2500 0.2500 0.2500 [4 per cell]  4 Ba 3.37, 4 Se 3.37
Re1 0.2500 0.2500 0.7500 [4 per cell]  4 Ba 3.37, 4 Se 3.37
Se1 0.0000 0.0000 0.5000 [4 per cell]  4 Ba 3.37, 4 Re 3.37

Calculated values
Density of states at the Fermi level: 16.339 states/eV/cell
Electronic total energy: -4.3082 eV per atom
Total moment: 0.7351 μB per atom